(1)
Below is GaGePbAu3 after structural relaxation, with properties calculated at the PBE level.

Properties
Energy relative to the elements: 0.00 eV per atom

abc: 6.227 16.030 5.996
angles: 90.00 90.00 90.00
Space group Cmcm (No. 63)
One atom of each set of equivalent atoms:
Ga (0.000, 0.092, 0.250) [4 per cell]
Ge (0.000, 0.405, 0.250) [4 per cell]
Pb (0.000, 0.329, 0.750) [4 per cell]
Au (0.000, 0.248, 0.250) [4 per cell]
Au (0.250, 0.000, 0.000) [8 per cell]


(2)
Below is LiMgNp2O8 after structural relaxation, with properties calculated at the PBE level.

Properties
Formation energy from raw total energies: -2445.6 meV per atom

abc: 5.125 5.125 10.340
angles: 90.00 90.00 90.00
Space group I-4 (No. 82)
One atom of each set of equivalent atoms:
Li (0.000, 0.000, 0.000) [2 per cell]
Mg (0.000, 0.500, 0.250) [2 per cell]
Np (0.000, 0.000, 0.500) [2 per cell]
Np (0.000, 0.500, 0.750) [2 per cell]
O (0.214, 0.771, 0.345) [8 per cell]
O (0.219, 0.277, 0.904) [8 per cell]